Record 1
# FePO2

FePO2 after structural relaxation (GGA+U, Alexandria via LeMat-Bulk). Values from VASP.

Crystal system: tetragonal
E_tot, eV/cell: -45.61
DOS at the Fermi energy, states/eV/cell: 1.56

Structure (Quantum ESPRESSO input):
```
&SYSTEM
  ibrav = 0, nat = 8, ntyp = 3
/
ATOMIC_SPECIES
Fe 55.84 Fe.upf
P 30.97 P.upf
O 16.00 O.upf
CELL_PARAMETERS angstrom
-2.100 2.100 5.812
2.100 -2.100 5.812
2.100 2.100 -5.812
ATOMIC_POSITIONS crystal
Fe 0.000 0.000 0.000
Fe 0.750 0.250 0.500
P 0.250 0.750 0.500
P 0.500 0.500 0.000
O 0.137 0.625 0.012
O 0.375 0.387 0.512
O 0.613 0.125 0.988
O 0.875 0.863 0.488
```

Record 2
# FeP2O2

FeP2O2 after structural relaxation (GGA+U, Alexandria via LeMat-Bulk). Values from VASP.

Crystal system: tetragonal
ΔE to the lowest computed polymorph, eV/atom: 0.107
E_tot, eV/cell: -55.13
DOS at the Fermi energy, states/eV/cell: 3.59

Structure (Quantum ESPRESSO input):
```
&SYSTEM
  ibrav = 0, nat = 10, ntyp = 3
/
ATOMIC_SPECIES
Fe 55.84 Fe.upf
P 30.97 P.upf
O 16.00 O.upf
CELL_PARAMETERS angstrom
5.735 0.000 0.000
0.000 5.735 0.000
0.000 0.000 3.931
ATOMIC_POSITIONS crystal
Fe 0.000 0.000 0.000
Fe 0.500 0.500 0.000
P 0.249 0.251 0.500
P 0.251 0.751 0.500
P 0.749 0.249 0.500
P 0.751 0.749 0.500
O 0.248 0.252 0.000
O 0.252 0.752 0.000
O 0.748 0.248 0.000
O 0.752 0.748 0.000
```